The following is a DFT calculation (PBE-GGA) of a geometry-optimized K4H3Br4 structure.

The structure in POSCAR format:
```
K4H3Br4
1.0
13.312 0.000 0.000
0.000 3.204 4.121
0.000 -3.204 4.121
K H Br
4 3 4
Direct
0.000 0.000 0.000
0.244 0.562 0.562
0.500 0.982 0.982
0.756 0.562 0.562
0.183 0.218 0.218
0.500 0.317 0.317
0.817 0.218 0.218
0.000 0.598 0.598
0.253 0.967 0.967
0.500 0.584 0.584
0.747 0.967 0.967
```

Output
The calculated total energy comes out at -2.5693 eV per atom.

***

The following is a DFT calculation (PBE-GGA) of a geometry-optimized KH4Br2 structure.

The structure in POSCAR format:
```
KH4Br2
1.0
5.101 0.000 0.000
0.000 8.276 0.000
-4.983 0.000 8.192
K H Br
2 8 4
Direct
0.000 0.000 0.000
0.000 0.500 0.500
0.135 0.249 0.223
0.135 0.251 0.723
0.293 0.249 0.223
0.293 0.251 0.723
0.707 0.749 0.277
0.707 0.751 0.777
0.865 0.749 0.277
0.865 0.751 0.777
0.304 0.727 0.296
0.304 0.773 0.796
0.696 0.227 0.204
0.696 0.273 0.704
```

Output
The calculated total energy comes out at -2.8997 eV per atom.

***

The following is a DFT calculation (PBE-GGA) of a geometry-optimized KLaHBr2 structure.

The structure in POSCAR format:
```
KLaHBr2
1.0
5.999 0.000 0.000
0.000 5.999 0.000
0.000 0.000 4.449
K La H Br
1 1 1 2
Direct
0.000 0.000 0.000
0.500 0.500 0.500
0.500 0.500 0.000
0.000 0.500 0.500
0.500 0.000 0.500
```

Output
The calculated total energy comes out at -3.7111 eV per atom.

***

The following is a DFT calculation (PBE-GGA) of a geometry-optimized K2MnHBr5 structure.

The structure in POSCAR format:
```
K2MnHBr5
1.0
2.142 -9.486 0.000
2.142 9.486 0.000
0.000 0.000 13.172
K Mn H Br
4 2 2 10
Direct
0.131 0.869 0.500
0.142 0.858 0.142
0.858 0.142 0.642
0.869 0.131 0.000
0.182 0.818 0.825
0.818 0.182 0.325
0.475 0.525 0.196
0.525 0.475 0.696
0.048 0.952 0.831
0.308 0.692 0.463
0.313 0.687 0.184
0.324 0.676 0.823
0.496 0.504 0.593
0.504 0.496 0.093
0.676 0.324 0.323
0.687 0.313 0.684
0.692 0.308 0.963
0.952 0.048 0.331
```

Output
The calculated total energy comes out at -3.6182 eV per atom.

***

The highest calculated total energy belongs to which entry?
K4H3Br4